TeWIO2: optimized geometry, GGA+U.

Lattice parameters (Å, degrees): 4.057 4.057 7.832 90.00 90.00 90.00
Sites, in units of the cell vectors:
Te (0.000, 0.000, 0.000)
W (0.500, 0.500, 0.500)
I (0.500, 0.500, 0.000)
O (0.000, 0.500, 0.500)
O (0.500, 0.000, 0.500)

## Properties
E above lowest polymorph: 0.000 eV/atom
SG: P4/mmm, No. 123
VASP energy: -24.484 eV for the cell shown
Spin magnetization: 1.92 Bohr magnetons per cell